[1]
InNiPb2: optimized geometry, PBE-GGA.

The structure in CIF format:
```
data_InNiPb2
_cell_length_a 9.287
_cell_length_b 3.439
_cell_length_c 6.904
_cell_angle_alpha 90.00
_cell_angle_beta 111.86
_cell_angle_gamma 90.00
_space_group_name_H-M_alt 'C 1 m 1'
_space_group_IT_number 8
loop_
_space_group_symop_operation_xyz
'x,y,z'
'x,-y,z'
'x+1/2,y+1/2,z'
'x+1/2,-y+1/2,z'
loop_
_atom_site_label
_atom_site_type_symbol
_atom_site_fract_x
_atom_site_fract_y
_atom_site_fract_z
_atom_site_occupancy
In1 In 0.000 0.000 0.000 1
Ni1 Ni 0.215 0.500 0.995 1
Pb1 Pb 0.194 0.000 0.674 1
Pb2 Pb 0.363 0.000 0.328 1
```

ΔE_f in eV per formula unit: 0.2
Calculated density in g/cm³: 9.54
Calculated volume in Å³/cell: 205
Electronic total energy in eV/cell: -31.379

=====

[2]
In2NiPb: optimized geometry, PBE-GGA.

The structure in CIF format:
```
data_In2NiPb
_cell_length_a 6.035
_cell_length_b 8.769
_cell_length_c 3.482
_cell_angle_alpha 90.00
_cell_angle_beta 90.00
_cell_angle_gamma 90.00
_space_group_name_H-M_alt 'C m m m'
_space_group_IT_number 65
_space_group_name_Hall '-C 2 2'
loop_
_atom_site_label
_atom_site_type_symbol
_atom_site_fract_x
_atom_site_fract_y
_atom_site_fract_z
_atom_site_occupancy
In1 In 0.250 0.250 0.000 1
Ni1 Ni 0.000 0.000 0.500 1
Pb1 Pb 0.000 0.500 0.500 1
```

ΔE_f in eV per formula unit: 1.3
Calculated density in g/cm³: 8.93
Calculated volume in Å³/cell: 184
Electronic total energy in eV/cell: -27.286

=====

[3]
InNiPb2: optimized geometry, PBE-GGA.

The structure in CIF format:
```
data_InNiPb2
_cell_length_a 7.341
_cell_length_b 7.341
_cell_length_c 7.341
_cell_angle_alpha 90.00
_cell_angle_beta 90.00
_cell_angle_gamma 90.00
_space_group_name_H-M_alt 'F -4 3 m'
_space_group_IT_number 216
_space_group_name_Hall 'F -4 2 3'
loop_
_atom_site_label
_atom_site_type_symbol
_atom_site_fract_x
_atom_site_fract_y
_atom_site_fract_z
_atom_site_occupancy
In1 In 0.000 0.000 0.000 1
Ni1 Ni 0.250 0.250 0.750 1
Pb1 Pb 0.000 0.000 0.500 1
Pb2 Pb 0.250 0.250 0.250 1
```

ΔE_f in eV per formula unit: 1.5
Calculated density in g/cm³: 9.87
Calculated volume in Å³/cell: 396
Electronic total energy in eV/cell: -57.659

=====

[4]
In2NiPb: optimized geometry, PBE-GGA.

The structure in CIF format:
```
data_In2NiPb
_cell_length_a 3.164
_cell_length_b 4.420
_cell_length_c 13.450
_cell_angle_alpha 90.00
_cell_angle_beta 90.00
_cell_angle_gamma 90.00
_space_group_name_H-M_alt 'I m m 2'
_space_group_IT_number 44
loop_
_space_group_symop_operation_xyz
'x,y,z'
'-x,-y,z'
'-x,y,z'
'x,-y,z'
'x+1/2,y+1/2,z+1/2'
'-x+1/2,-y+1/2,z+1/2'
'-x+1/2,y+1/2,z+1/2'
'x+1/2,-y+1/2,z+1/2'
loop_
_atom_site_label
_atom_site_type_symbol
_atom_site_fract_x
_atom_site_fract_y
_atom_site_fract_z
_atom_site_occupancy
In1 In 0.000 0.000 0.000 1
In2 In 0.000 0.500 0.172 1
Ni1 Ni 0.000 0.500 0.669 1
Pb1 Pb 0.000 0.000 0.353 1
```

ΔE_f in eV per formula unit: 0.1
Calculated density in g/cm³: 8.75
Calculated volume in Å³/cell: 188
Electronic total energy in eV/cell: -29.634

=====

[5]
In3NiPb: optimized geometry, PBE-GGA.

The structure in CIF format:
```
data_In3NiPb
_cell_length_a 5.040
_cell_length_b 5.040
_cell_length_c 5.040
_cell_angle_alpha 90.00
_cell_angle_beta 90.00
_cell_angle_gamma 90.00
_space_group_name_H-M_alt 'P m -3 m'
_space_group_IT_number 221
_space_group_name_Hall '-P 4 2 3'
loop_
_atom_site_label
_atom_site_type_symbol
_atom_site_fract_x
_atom_site_fract_y
_atom_site_fract_z
_atom_site_occupancy
In1 In 0.000 0.000 0.500 1
Ni1 Ni 0.000 0.000 0.000 1
Pb1 Pb 0.500 0.500 0.500 1
```

ΔE_f in eV per formula unit: 0.2
Calculated density in g/cm³: 7.91
Energy relative to the lowest polymorph listed for this composition in eV/atom: 0.000
Calculated volume in Å³/cell: 128
Electronic total energy in eV/cell: -17.471

=====

[6]
InNi2Pb: optimized geometry, PBE-GGA.

The structure in CIF format:
```
data_InNi2Pb
_cell_length_a 6.488
_cell_length_b 6.488
_cell_length_c 6.488
_cell_angle_alpha 90.00
_cell_angle_beta 90.00
_cell_angle_gamma 90.00
_space_group_name_H-M_alt 'F m -3 m'
_space_group_IT_number 225
_space_group_name_Hall '-F 4 2 3'
loop_
_atom_site_label
_atom_site_type_symbol
_atom_site_fract_x
_atom_site_fract_y
_atom_site_fract_z
_atom_site_occupancy
In1 In 0.000 0.000 0.000 1
Ni1 Ni 0.250 0.250 0.250 1
Pb1 Pb 0.000 0.000 0.500 1
```

ΔE_f in eV per formula unit: 0.6
Calculated density in g/cm³: 10.69
Energy relative to the lowest polymorph listed for this composition in eV/atom: 0.101
Calculated volume in Å³/cell: 273
Electronic total energy in eV/cell: -69.531

=====

Which of these has the highest calculated volume? number 3

=====

Among the records above, which one has the highest calculated volume? number 3

=====

What is the ΔE_f in the second record? 1.3 eV per formula unit

=====

Which formula does entry 3 have? InNiPb2